The following is a DFT calculation (GGA+U) of Pm2MnTlO6 after structural relaxation.

The value obtained for the density is 7.80 g/cm³. For the calculated total energy, the calculation gives -0.5267 Ry/atom.

The structure in POSCAR format:
```
Pm2MnTlO6
1.0
5.5590 0.0000 0.0000
0.0000 6.1150 0.0000
-5.2872 0.0000 8.0852
Pm Mn Tl O
4 2 2 12
direct
0.2200 0.0773 0.2401
0.2200 0.4227 0.7401
0.7800 0.5773 0.2599
0.7800 0.9227 0.7599
0.5000 0.0000 0.0000
0.5000 0.5000 0.5000
0.0000 0.0000 0.5000
0.0000 0.5000 0.0000
0.1557 0.1635 0.9488
0.1557 0.3365 0.4488
0.2321 0.6873 0.9209
0.2321 0.8127 0.4209
0.4045 0.0566 0.7735
0.4045 0.4434 0.2735
0.5955 0.5566 0.7265
0.5955 0.9434 0.2265
0.7679 0.1873 0.5791
0.7679 0.3127 0.0791
0.8443 0.6635 0.5512
0.8443 0.8365 0.0512
```